Entry 1:
Material: KLiRe4
Method: DFT, PBE
State: optimized geometry

a = 5.363 Å, b = 5.363 Å, c = 5.363 Å
α = 60.00°, β = 60.00°, γ = 60.00°
Element x y z (fractional)
K 0.000 0.000 0.000
Li 0.750 0.750 0.750
Re 0.375 0.375 0.375
Re 0.375 0.375 0.875
Re 0.375 0.875 0.375
Re 0.875 0.375 0.375

Output
formation energy = 1019 meV per atom
DOS at the Fermi energy = 5.6 states/eV/f.u.
E_tot = -7.7818 eV per atom
total magnetic moment = 0.0001 μB/atom

---

Entry 2:
Material: Cd2ReSi
Method: DFT, PBE
State: optimized geometry

a = 10.560 Å, b = 10.560 Å, c = 10.560 Å
α = 15.45°, β = 15.45°, γ = 15.45°
Element x y z (fractional)
Cd 0.246 0.246 0.246
Cd 0.754 0.754 0.754
Re 0.500 0.500 0.500
Si 0.000 0.000 0.000

Output
E_form (uncorrected) = 13.45 kcal/mol of atoms
DOS at the Fermi energy = 2.8 states/eV/f.u.
E_tot = -4.3420 eV per atom
total magnetic moment = 0.0000 μB/atom

---

Entry 3:
Material: PmInGa
Method: DFT, PBE
State: optimized geometry

a = 8.523 Å, b = 8.523 Å, c = 4.122 Å
α = 101.40°, β = 101.40°, γ = 31.08°
Element x y z (fractional)
Pm 0.102 0.102 0.336
Pm 0.898 0.898 0.664
In 0.291 0.291 0.165
In 0.709 0.709 0.835
Ga 0.457 0.457 0.215
Ga 0.543 0.543 0.785

Output
formation energy = -550 meV per atom
ΔE to the lowest computed polymorph = 0 meV per atom
DOS at the Fermi energy = 0.9 states/eV/f.u.
E_tot = -4.0549 eV per atom
total magnetic moment = 0.0000 μB/atom